1.
! PmThPb, optimized geometry, DFT PBE-GGA; values from VASP
&SYSTEM
  ibrav = 0, nat = 6, ntyp = 3
/
ATOMIC_SPECIES
Th 232.04 Th.upf
Pm 145.00 Pm.upf
Pb 207.20 Pb.upf
ATOMIC_POSITIONS angstrom
Th 8.3119 8.6175 5.3602
Th 8.3119 8.6175 1.7867
Pm 0.8808 0.9133 1.7867
Pb 4.6104 4.7800 3.5734
Pb 4.6104 4.7800 0.0000
Pm 0.8809 0.9132 5.3602
CELL_PARAMETERS angstrom
6.5856 4.2972 0.0000
4.0568 6.7365 0.0000
0.0000 0.0000 7.1469
! - Magnetic moment: 0.00 μB/f.u.
! - Distance to the lowest polymorph of the same formula: 347 meV/atom
! - Energy: -5.325 eV/atom
! - Formation enthalpy at 0 K: -0.032 eV/atom

2.
! La2TcCl, optimized geometry, DFT PBE-GGA; values from VASP
&SYSTEM
  ibrav = 0, nat = 4, ntyp = 3
/
ATOMIC_SPECIES
Tc 98.00 Tc.upf
La 138.91 La.upf
Cl 35.45 Cl.upf
ATOMIC_POSITIONS angstrom
Tc -1.7511 0.8072 0.0958
La -2.7254 -0.9261 2.3955
La -4.9617 2.2872 0.2715
Cl -5.3884 0.3015 2.5412
CELL_PARAMETERS angstrom
-1.6365 -3.5440 -0.0509
0.1833 -0.1511 4.6232
-5.3494 2.4660 0.2927
! - Magnetic moment: 0.00 μB/f.u.
! - Distance to the lowest polymorph of the same formula: 34 meV/atom
! - Energy: -6.258 eV/atom
! - Energy relative to the elements, uncorrected: -0.741 eV per atom

3.
! MnV3S6, optimized geometry, DFT PBE-GGA; values from VASP
&SYSTEM
  ibrav = 0, nat = 20, ntyp = 3
/
ATOMIC_SPECIES
S 32.06 S.upf
Mn 54.94 Mn.upf
V 50.94 V.upf
ATOMIC_POSITIONS angstrom
S -6.6353 0.0295 -4.2155
S -7.8537 -0.8212 1.8116
S -5.4466 -4.2312 -0.0880
S -7.3142 -2.0912 -1.9821
S -6.0531 3.6595 -3.9503
Mn 0.0000 0.0000 0.0000
V -4.0599 1.7831 0.3047
S -3.6460 0.2495 -5.8499
V -8.8797 -0.8365 -0.4578
S -6.0644 3.2282 0.6153
S -7.6732 0.9867 -1.3954
V -2.6201 0.2648 -3.5805
S -5.4354 -3.7999 -4.6535
V -7.8823 1.9881 -3.6980
S -4.1856 1.5195 -2.0562
S -4.8644 -0.6012 0.1773
Mn -5.7499 -0.2859 -2.0191
V -3.6175 -2.5598 -0.3402
V -7.4399 -2.3548 -4.3429
S -3.8265 -1.5584 -2.6429
CELL_PARAMETERS angstrom
-4.7597 5.2582 0.5208
-1.8840 -1.1256 -6.7645
-4.8560 -4.7043 2.2054
! - Magnetic moment: 10.03 μB/f.u.
! - Distance to the lowest polymorph of the same formula: 104 meV/atom
! - Energy: -6.837 eV/atom
! - Energy relative to the elements, uncorrected: -0.708 eV per atom

4.
! Al2RhI, optimized geometry, DFT PBE-GGA; values from VASP
&SYSTEM
  ibrav = 0, nat = 4, ntyp = 3
/
ATOMIC_SPECIES
Al 26.98 Al.upf
I 126.90 I.upf
Rh 102.91 Rh.upf
ATOMIC_POSITIONS angstrom
Al 5.0319 5.0319 5.0319
I 3.3546 3.3546 3.3546
Al 1.6773 1.6773 1.6773
Rh 0.0000 0.0000 0.0000
CELL_PARAMETERS angstrom
0.0000 3.3546 3.3546
3.3546 0.0000 3.3546
3.3546 3.3546 0.0000
! - Magnetic moment: 0.00 μB/f.u.
! - Distance to the lowest polymorph of the same formula: 522 meV/atom
! - Energy: -3.554 eV/atom
! - Energy relative to the elements, uncorrected: 0.543 eV per atom

5.
! BaTaIn, optimized geometry, DFT PBE-GGA; values from VASP
&SYSTEM
  ibrav = 0, nat = 3, ntyp = 3
/
ATOMIC_SPECIES
Ta 180.95 Ta.upf
In 114.82 In.upf
Ba 137.33 Ba.upf
ATOMIC_POSITIONS angstrom
Ta -0.5791 0.8259 8.8238
In -0.2423 0.3456 3.6920
Ba -0.0018 0.0025 0.0268
CELL_PARAMETERS angstrom
-2.2606 2.5006 5.9708
1.4375 -1.3267 6.5717
1.7838 1.7092 -6.3961
! - Magnetic moment: 0.00 μB/f.u.
! - Distance to the lowest polymorph of the same formula: 31 meV/atom
! - Energy: -4.919 eV/atom
! - Formation enthalpy at 0 K: 0.585 eV/atom

6.
! Tb6PrSm, optimized geometry, DFT PBE-GGA; values from VASP
&SYSTEM
  ibrav = 0, nat = 8, ntyp = 3
/
ATOMIC_SPECIES
Tb 158.93 Tb.upf
Pr 140.91 Pr.upf
Sm 150.36 Sm.upf
ATOMIC_POSITIONS angstrom
Tb -0.0991 4.2941 4.5019
Pr -1.3809 3.8519 1.2603
Sm 0.0000 0.0000 0.0000
Tb -1.9669 3.7903 7.6936
Tb -2.3341 0.7021 2.2812
Tb -3.5698 0.1890 -1.2029
Tb -3.2026 3.2771 4.2095
Tb -5.4376 -0.3148 1.9888
CELL_PARAMETERS angstrom
-3.7133 1.5985 -4.5813
-2.7749 -3.7245 3.9700
0.9515 6.1053 7.1020
! - Magnetic moment: 0.00 μB/f.u.
! - Distance to the lowest polymorph of the same formula: 342 meV/atom
! - Energy: -4.299 eV/atom
! - Formation enthalpy at 0 K: 0.361 eV/atom

7.
! ScHOs, optimized geometry, DFT PBE-GGA; values from VASP
&SYSTEM
  ibrav = 0, nat = 12, ntyp = 3
/
ATOMIC_SPECIES
Sc 44.96 Sc.upf
Os 190.23 Os.upf
H 1.01 H.upf
ATOMIC_POSITIONS angstrom
Sc 0.7892 2.7248 2.2150
Os 2.6880 2.7248 6.7742
H 0.9682 0.9083 10.1377
Os 0.9258 0.9083 0.0015
H 0.7940 0.9083 3.3621
H 2.7304 2.7248 10.1892
H 2.5562 2.7248 3.4136
Sc 2.5514 0.9083 4.5606
Os 2.5986 2.7248 13.5498
Sc 0.9730 2.7248 8.9907
Sc 2.7352 0.9083 11.3363
Os 0.8364 0.9083 6.7771
CELL_PARAMETERS angstrom
3.5244 0.0000 0.0000
0.0000 3.6330 0.0000
0.0000 0.0000 13.5513
! - Magnetic moment: 0.00 μB/f.u.
! - Energy: -7.114 eV/atom

8.
! NiRu3, optimized geometry, DFT PBE-GGA; values from VASP
&SYSTEM
  ibrav = 0, nat = 4, ntyp = 2
/
ATOMIC_SPECIES
Ru 101.07 Ru.upf
Ni 58.69 Ni.upf
ATOMIC_POSITIONS angstrom
Ru 2.1277 1.2284 0.8686
Ru 6.3830 3.6852 2.6058
Ru 4.2553 2.4568 1.7372
Ni 0.0000 0.0000 0.0000
CELL_PARAMETERS angstrom
4.2553 0.0000 0.0000
2.1277 3.6852 0.0000
2.1277 1.2284 3.4745
! - Magnetic moment: 1.79 μB/f.u.
! - Energy: -7.966 eV/atom
! - Formation enthalpy at 0 K: 0.436 eV/atom

The lowest energy belongs to which entry? NiRu3